# LaCr2RhF

LaCr2RhF after structural relaxation (PBE+U, the Alexandria database).

Cell and atoms, written as POSCAR:
```
LaCr2RhF
1.0
5.655 0.000 0.000
0.000 4.290 0.000
0.000 0.000 5.655
Cr F Rh La
2 1 1 1
Direct
0.000 0.000 0.500 Cr
0.500 0.000 0.000 Cr
0.000 0.500 0.000 F
0.500 0.500 0.500 Rh
0.000 0.000 0.000 La
```

Output
The total energy is -26.9 eV per cell. For the density of states at the Fermi level, the calculation gives 0.71 states/eV per atom.